Entry 1:
{"formula": "LiVCu2", "functional": "PBE", "state": "relaxed", "cell": [[1.271, 0.734, 9.439], [-1.271, 0.734, 9.439], [0.000, -1.467, 9.439]], "species": ["Li", "V", "Cu", "Cu"], "frac_coords": [[0.000, 0.000, 0.000], [0.500, 0.500, 0.500], [0.411, 0.411, 0.411], [0.589, 0.589, 0.589]], "delta_e_f_ev_per_atom": 0.31, "final_energy_ev_per_atom": -4.496}

Entry 2:
{"formula": "LiVCu2", "functional": "PBE", "state": "relaxed", "cell": [[2.536, 0.000, 0.000], [0.000, 2.536, 0.000], [0.000, 0.000, 7.888]], "species": ["Li", "V", "Cu", "Cu"], "frac_coords": [[0.000, 0.000, 0.000], [0.000, 0.000, 0.500], [0.500, 0.500, 0.251], [0.500, 0.500, 0.749]], "delta_e_f_ev_per_atom": 0.08, "final_energy_ev_per_atom": -4.726}

Entry 3:
{"formula": "Li2VZnCu", "functional": "PBE", "state": "relaxed", "cell": [[4.199, 0.000, 0.000], [0.000, 4.199, 0.000], [0.000, 0.000, 4.526]], "species": ["Li", "Li", "V", "Zn", "Cu"], "frac_coords": [[0.000, 0.500, 0.000], [0.500, 0.000, 0.000], [0.000, 0.000, 0.500], [0.500, 0.500, 0.500], [0.500, 0.500, 0.000]], "delta_e_f_ev_per_atom": 0.77, "final_energy_ev_per_atom": -2.895}

Entry 4:
{"formula": "LiCu2W", "functional": "PBE", "state": "relaxed", "cell": [[0.000, 2.977, 2.977], [2.977, 0.000, 2.977], [2.977, 2.977, 0.000]], "species": ["Li", "Cu", "Cu", "W"], "frac_coords": [[0.000, 0.000, 0.000], [0.250, 0.250, 0.250], [0.750, 0.750, 0.750], [0.500, 0.500, 0.500]], "de_polymorph_ev_per_atom": 0.251, "delta_e_f_ev_per_atom": 0.46, "final_energy_ev_per_atom": -5.307}